# La4PmDy | the Alexandria database | GGA-PBE | optimized geometry
# Excess energy over the best structure of this formula in the dataset = 0.0 kJ/mol of atoms
# E_form = 0.019 eV/atom
# Density = 6.74 Mg/m³
# Raw total energy = -4.825 eV per atom
data_La4PmDy
_chemical_formula_sum 'La4 Pm1 Dy1'
_space_group_name_H-M_alt 'P m m m'
_space_group_IT_number 47
_cell_length_a 3.6784
_cell_length_b 5.2441
_cell_length_c 11.0239
_cell_angle_alpha 90.00
_cell_angle_beta 90.00
_cell_angle_gamma 90.00
loop_
_space_group_symop_operation_xyz
'x,y,z'
'-x,-y,-z'
'-x,-y,z'
'x,y,-z'
'x,-y,-z'
'-x,y,z'
'-x,y,-z'
'x,-y,z'
loop_
_atom_site_label
_atom_site_type_symbol
_atom_site_fract_x
_atom_site_fract_y
_atom_site_fract_z
La1 La 0.0000 0.0000 0.1677
La2 La 0.5000 0.5000 0.3282
Pm1 Pm 0.0000 0.0000 0.5000
Dy1 Dy 0.5000 0.5000 0.0000